4
Lattice="2.813 0.000 0.000 0.000 4.012 0.000 0.000 0.000 5.751" Properties=species:S:1:pos:R:3 comment="PBE CdTcPt2, relaxed" ef_mev_per_atom=-72.5 dos_at_fermi_per_ev_fu=4.5 e_tot_ha_per_atom=-0.217 sg="Pmmm, No. 47" pbc="T T T"
Cd 0.000 0.000 0.000
Tc 0.000 0.000 2.876
Pt 1.406 2.006 1.545
Pt 1.406 2.006 4.206